DFT (GGA-PBE) results for crystalline EuPuTlSi at its relaxed geometry.

```
EuPuTlSi
1.0
5.289 0.000 0.000
2.644 4.580 0.000
2.644 1.527 4.318
Eu Tl Si Pu
1 1 1 1
Direct
0.500 0.500 0.500
0.250 0.250 0.250
0.750 0.750 0.750
0.000 0.000 0.000
```

For the calculated total energy, the calculation gives -8.24 eV per atom. The crystal system is cubic. The value obtained for the formation energy from raw total energies is -0.146 eV/atom.